The following is a DFT calculation (GGA-PBE) of RbSn2Pb after structural relaxation.

Cell lengths 7.4692, 7.4692, 8.7672 Å; angles 98.90, 98.90, 37.08 degrees
Sites, in units of the cell vectors:
1 Rb 0.0000 0.0000 0.0000
2 Rb 0.0851 0.0851 0.4471
3 Sn 0.2964 0.2964 0.8806
4 Sn 0.3621 0.3621 0.2501
5 Sn 0.4308 0.4308 0.6334
6 Sn 0.7304 0.7304 0.1883
7 Pb 0.6563 0.6563 0.8202
8 Pb 0.7961 0.7961 0.5583

Properties
- energy relative to the elements (meV per atom) = -113.7
- DFT total energy (eV/atom) = -3.284